No. 1
Entry from Alexandria: crystalline PrDy2Er4Sc at its relaxed geometry (PBE).

For the formation energy, the calculation gives 0.02 eV/atom. Its density is 8.01 g/cm³. The calculation puts the density of states at the Fermi level at 11.84 states/eV/f.u.

The space group is P-1 (No. 2) and the conventional cell measures 7.0371, 7.0435 and 11.3716 Å, with angles of 89.99, 89.99 and 60.21 degrees. Symmetry generates all atoms from Pr at (0.0000, 0.0000, 0.0000), Pr at (0.5000, 0.5000, 0.0000), Dy at (0.0000, 0.0000, 0.5000), Dy at (0.0000, 0.5000, 0.5000), Dy at (0.5000, 0.0000, 0.0000), Dy at (0.5000, 0.0000, 0.5000), Er at (0.1662, 0.1692, 0.2501), Er at (0.1671, 0.6661, 0.2526), Er at (0.3329, 0.3334, 0.7480), Er at (0.3345, 0.8309, 0.7457), Sc at (0.0000, 0.5000, 0.0000) and Sc at (0.5000, 0.5000, 0.5000).



No. 2
Entry from Alexandria: crystalline Pr4DyEr2Sc at its relaxed geometry (PBE).

For the formation energy, the calculation gives 0.03 eV/atom. Its density is 7.06 g/cm³. The calculation puts the density of states at the Fermi level at 10.23 states/eV/f.u.

The space group is Pmmm (No. 47) and the conventional cell measures 5.1290, 5.1415 and 9.8657 Å, with angles of 90.00, 90.00 and 90.00 degrees. Symmetry generates all atoms from Pr at (0.0000, 0.0000, 0.2448), Pr at (0.5000, 0.5000, 0.2447), Dy at (0.0000, 0.5000, 0.5000), Er at (0.0000, 0.5000, 0.0000), Er at (0.5000, 0.0000, 0.5000) and Sc at (0.5000, 0.0000, 0.0000).



No. 3
Entry from Alexandria: crystalline PrDy5ErSc2 at its relaxed geometry (PBE).

For the formation energy, the calculation gives 0.17 eV/atom. Its density is 7.15 g/cm³. The calculation puts the density of states at the Fermi level at 13.33 states/eV/f.u.

The space group is Cmc2_1 (No. 36) and the conventional cell measures 5.5993, 21.5431 and 9.3182 Å, with angles of 90.00, 90.00 and 90.00 degrees. Symmetry generates all atoms from Pr at (0.0000, 0.1842, 0.0000), Dy at (0.0000, 0.0088, 0.9972), Dy at (0.0000, 0.2659, 0.3148), Dy at (0.0000, 0.3076, 0.7009), Dy at (0.0000, 0.3927, 0.0294), Dy at (0.0000, 0.4681, 0.7305), Er at (0.0000, 0.4033, 0.4014), Sc at (0.0000, 0.1135, 0.3079) and Sc at (0.0000, 0.1375, 0.6806).